Record 1
DFT (PBE) results for crystalline GdLuPa at its relaxed geometry.

Unit cell a=3.402 b=3.402 c=8.466 alpha=90.00 beta=90.00 gamma=120.00
Fractional coordinates of all 3 atoms:
Gd1 0.333 0.667 0.679
Pa1 0.000 0.000 0.002
Lu1 0.667 0.333 0.319

Results
Distance to the lowest polymorph of the same formula, eV per atom: 0.000
Space group: P3m1, No. 156

---

Record 2
DFT (PBE) results for crystalline PmGdLuPa at its relaxed geometry.

Unit cell a=5.580 b=5.580 c=5.580 alpha=60.00 beta=60.00 gamma=60.00
Fractional coordinates of all 4 atoms:
Pm1 0.750 0.750 0.750
Pa1 0.000 0.000 0.000
Gd1 0.250 0.250 0.250
Lu1 0.500 0.500 0.500

Results
Space group: F-43m, No. 216

---

Record 3
DFT (PBE) results for crystalline GdLuScPa at its relaxed geometry.

Unit cell a=5.389 b=5.389 c=5.389 alpha=60.00 beta=60.00 gamma=60.00
Fractional coordinates of all 4 atoms:
Lu1 0.750 0.750 0.750
Pa1 0.250 0.250 0.250
Gd1 0.000 0.000 0.000
Sc1 0.500 0.500 0.500

Results
Space group: F-43m, No. 216

---

Record 4
DFT (PBE) results for crystalline TbGdLuPa at its relaxed geometry.

Unit cell a=5.543 b=5.543 c=5.543 alpha=60.00 beta=60.00 gamma=60.00
Fractional coordinates of all 4 atoms:
Gd1 0.250 0.250 0.250
Lu1 0.500 0.500 0.500
Pa1 0.000 0.000 0.000
Tb1 0.750 0.750 0.750

Results
Space group: F-43m, No. 216

---

Record 5
DFT (PBE) results for crystalline GdLuThPa at its relaxed geometry.

Unit cell a=5.532 b=5.532 c=5.532 alpha=60.00 beta=60.00 gamma=60.00
Fractional coordinates of all 4 atoms:
Lu1 0.000 0.000 0.000
Gd1 0.250 0.250 0.250
Th1 0.750 0.750 0.750
Pa1 0.500 0.500 0.500

Results
Space group: F-43m, No. 216

---

Record 6
DFT (PBE) results for crystalline Gd2LuPb at its relaxed geometry.

Unit cell a=3.529 b=3.529 c=12.187 alpha=81.67 beta=81.67 gamma=60.00
Fractional coordinates of all 4 atoms:
Gd1 0.089 0.089 0.733
Pb1 0.000 0.000 0.000
Gd2 0.911 0.911 0.267
Lu1 0.500 0.500 0.500

Results
Distance to the lowest polymorph of the same formula, eV per atom: 0.350
Space group: R-3m, No. 166

---

Record 7
DFT (PBE) results for crystalline GdLuPb at its relaxed geometry.

Unit cell a=3.957 b=3.957 c=6.213 alpha=108.57 beta=108.57 gamma=90.00
Fractional coordinates of all 3 atoms:
Lu1 0.938 0.938 0.875
Gd1 0.624 0.624 0.247
Pb1 0.289 0.289 0.578

Results
Space group: I4mm, No. 107

---

Record 8
DFT (PBE) results for crystalline Gd2LuPb at its relaxed geometry.

Unit cell a=4.216 b=4.216 c=6.681 alpha=90.00 beta=90.00 gamma=90.00
Fractional coordinates of all 4 atoms:
Lu1 0.500 0.500 0.000
Gd1 0.000 0.000 0.261
Gd2 0.000 0.000 0.739
Pb1 0.500 0.500 0.500

Results
Distance to the lowest polymorph of the same formula, eV per atom: 0.045
Space group: P4/mmm, No. 123

---

Record 9
DFT (PBE) results for crystalline GdLu2Pb at its relaxed geometry.

Unit cell a=4.765 b=4.847 c=4.847 alpha=90.00 beta=90.00 gamma=90.00
Fractional coordinates of all 4 atoms:
Lu1 0.000 0.000 0.500
Lu2 0.000 0.500 0.000
Pb1 0.500 0.000 0.000
Gd1 0.500 0.500 0.500

Results
Distance to the lowest polymorph of the same formula, eV per atom: 0.000
Space group: P4/mmm, No. 123

---

Record 10
DFT (PBE) results for crystalline GdLu2Pb at its relaxed geometry.

Unit cell a=3.596 b=3.596 c=9.078 alpha=90.00 beta=90.00 gamma=90.00
Fractional coordinates of all 4 atoms:
Lu1 0.000 0.000 0.766
Gd1 0.500 0.500 0.500
Pb1 0.500 0.500 0.000
Lu2 0.000 0.000 0.234

Results
Distance to the lowest polymorph of the same formula, eV per atom: 0.074
Space group: P4/mmm, No. 123

---

Record 11
DFT (PBE) results for crystalline Gd2LuPb at its relaxed geometry.

Unit cell a=4.893 b=4.856 c=4.856 alpha=90.00 beta=90.00 gamma=90.00
Fractional coordinates of all 4 atoms:
Gd1 0.000 0.500 0.000
Gd2 0.000 0.000 0.500
Pb1 0.500 0.000 0.000
Lu1 0.500 0.500 0.500

Results
Distance to the lowest polymorph of the same formula, eV per atom: 0.000
Space group: P4/mmm, No. 123

---

Record 12
DFT (PBE) results for crystalline Gd2LuPb at its relaxed geometry.

Unit cell a=5.491 b=5.491 c=5.491 alpha=60.00 beta=60.00 gamma=60.00
Fractional coordinates of all 4 atoms:
Pb1 0.500 0.500 0.500
Gd1 0.750 0.750 0.750
Gd2 0.250 0.250 0.250
Lu1 0.000 0.000 0.000

Results
Distance to the lowest polymorph of the same formula, eV per atom: 0.145
Space group: Fm-3m, No. 225

---

Calculated values (eV/atom) of energy of formation from the pure elements for the records, taken in order: 0.11 0.35 0.30 0.33 0.32 0.05 -0.29 -0.25 -0.26 -0.18 -0.30 -0.16.